# CeCd4Ag4

A geometry-optimized CeCd4Ag4 structure (PBE-GGA, Alexandria).

Lattice parameters (Å, degrees): 6.3604 6.3604 10.0224 90.00 90.00 90.00
Last column: nearest neighbours and their distance in Å.
Sites, in units of the cell vectors:
1 Ce 0.2500 0.7500 0.2500  4 Ag 3.33, 8 Cd 3.57
2 Ce 0.7500 0.2500 0.7500  4 Ag 3.33, 8 Cd 3.57
3 Cd 0.0276 0.2500 0.1728  3 Cd 2.83-2.94, 5 Ag 2.85-2.95
4 Cd 0.2500 0.0276 0.6728  3 Cd 2.83-2.94, 5 Ag 2.85-2.95
5 Cd 0.2500 0.4724 0.6728  3 Cd 2.83-2.94, 5 Ag 2.85-2.95
6 Cd 0.4724 0.2500 0.1728  3 Cd 2.83-2.94, 5 Ag 2.85-2.95
7 Cd 0.5276 0.7500 0.8272  3 Cd 2.83-2.94, 5 Ag 2.85-2.95
8 Cd 0.7500 0.5276 0.3272  3 Cd 2.83-2.94, 5 Ag 2.85-2.95
9 Cd 0.7500 0.9724 0.3272  3 Cd 2.83-2.94, 5 Ag 2.85-2.95
10 Cd 0.9724 0.7500 0.8272  3 Cd 2.83-2.94, 5 Ag 2.85-2.95
11 Ag 0.0238 0.2500 0.4668  5 Cd 2.85-2.95, 1 Ag 2.88
12 Ag 0.2500 0.0238 0.9668  5 Cd 2.85-2.95, 1 Ag 2.88
13 Ag 0.2500 0.4762 0.9668  5 Cd 2.85-2.95, 1 Ag 2.88
14 Ag 0.4762 0.2500 0.4668  5 Cd 2.85-2.95, 1 Ag 2.88
15 Ag 0.5238 0.7500 0.5332  5 Cd 2.85-2.95, 1 Ag 2.88
16 Ag 0.7500 0.5238 0.0332  5 Cd 2.85-2.95, 1 Ag 2.88
17 Ag 0.7500 0.9762 0.0332  5 Cd 2.85-2.95, 1 Ag 2.88
18 Ag 0.9762 0.7500 0.5332  5 Cd 2.85-2.95, 1 Ag 2.88

Results
* symmetry: P4_2/nmc, No. 137
* DOS at the Fermi energy: 23.509 states/eV/cell
* formation energy from the elements: -0.025 eV per atom

=====

# CeCd2Ag2

A geometry-optimized CeCd2Ag2 structure (PBE-GGA, Alexandria).

Lattice parameters (Å, degrees): 5.1765 5.1765 9.9152 97.16 97.16 116.44
Last column: nearest neighbours and their distance in Å.
Sites, in units of the cell vectors:
1 Ce 0.1414 0.8586 0.7500  4 Ag 3.19-3.24, 8 Cd 3.29-3.54
2 Ce 0.8586 0.1414 0.2500  4 Ag 3.19-3.24, 8 Cd 3.29-3.54
3 Cd 0.1468 0.7623 0.0972  2 Cd 2.77-2.95, 2 Ag 2.78-3.01
4 Cd 0.2377 0.8532 0.4028  2 Cd 2.77-2.95, 2 Ag 2.78-3.01
5 Cd 0.7623 0.1468 0.5972  2 Cd 2.77-2.95, 2 Ag 2.78-3.01
6 Cd 0.8532 0.2377 0.9028  2 Cd 2.77-2.95, 2 Ag 2.78-3.01
7 Ag 0.3665 0.4304 0.6072  2 Ag 2.68-2.79, 1 Cd 2.78
8 Ag 0.4304 0.3665 0.1072  2 Ag 2.68-2.79, 1 Cd 2.78
9 Ag 0.5696 0.6335 0.8928  2 Ag 2.68-2.79, 1 Cd 2.78
10 Ag 0.6335 0.5696 0.3928  2 Ag 2.68-2.79, 1 Cd 2.78

Results
* symmetry: C2/c, No. 15
* DOS at the Fermi energy: 16.735 states/eV/cell
* formation energy from the elements: -0.129 eV per atom
* E above lowest polymorph: 0.000 eV per atom

=====

# Ce2Cd7Ag2

A geometry-optimized Ce2Cd7Ag2 structure (PBE-GGA, Alexandria).

Lattice parameters (Å, degrees): 7.1392 7.1392 5.5067 101.26 101.26 96.98
Last column: nearest neighbours and their distance in Å.
Sites, in units of the cell vectors:
1 Ce 0.2071 0.2071 0.1134  9 Cd 3.28-3.45, 2 Ag 3.39
2 Ce 0.7929 0.7929 0.8866  9 Cd 3.28-3.45, 2 Ag 3.39
3 Cd 0.0000 0.0000 0.5000  4 Cd 2.85
4 Cd 0.0462 0.6089 0.3279  2 Cd 2.80-2.85, 2 Ag 2.81-3.10
5 Cd 0.3911 0.9538 0.6721  2 Cd 2.80-2.85, 2 Ag 2.81-3.10
6 Cd 0.4214 0.4214 0.7033  2 Ag 2.98, 4 Cd 3.03-3.29, 1 Ce 3.28
7 Cd 0.5786 0.5786 0.2967  2 Ag 2.98, 4 Cd 3.03-3.29, 1 Ce 3.28
8 Cd 0.6089 0.0462 0.3279  2 Cd 2.80-2.85, 2 Ag 2.81-3.10
9 Cd 0.9538 0.3911 0.6721  2 Cd 2.80-2.85, 2 Ag 2.81-3.10
10 Ag 0.2639 0.7361 0.0000  6 Cd 2.81-3.10
11 Ag 0.7361 0.2639 0.0000  6 Cd 2.81-3.10

Results
* symmetry: C2/m, No. 12
* DOS at the Fermi energy: 17.650 states/eV/cell
* formation energy from the elements: -0.057 eV per atom

=====

# Ce5Cd2Ag4

A geometry-optimized Ce5Cd2Ag4 structure (PBE-GGA, Alexandria).

Lattice parameters (Å, degrees): 5.8720 5.8720 8.5487 93.68 93.68 67.79
Last column: nearest neighbours and their distance in Å.
Sites, in units of the cell vectors:
1 Ce 0.0000 0.0000 0.0000  4 Ce 3.17, 2 Cd 3.52
2 Ce 0.1342 0.5831 0.2460  2 Ce 2.94-3.17, 4 Ag 3.11-3.24, 2 Cd 3.19-3.26
3 Ce 0.4169 0.8658 0.7540  2 Ce 2.94-3.17, 4 Ag 3.11-3.24, 2 Cd 3.19-3.26
4 Ce 0.5831 0.1342 0.2460  2 Ce 2.94-3.17, 4 Ag 3.11-3.24, 2 Cd 3.19-3.26
5 Ce 0.8658 0.4169 0.7540  2 Ce 2.94-3.17, 4 Ag 3.11-3.24, 2 Cd 3.19-3.26
6 Cd 0.1119 0.1119 0.4011  1 Cd 2.86, 1 Ag 2.88, 2 Ce 3.19
7 Cd 0.8881 0.8881 0.5989  1 Cd 2.86, 1 Ag 2.88, 2 Ce 3.19
8 Ag 0.3708 0.3708 0.9157  2 Ag 2.80-2.86, 2 Ce 3.11
9 Ag 0.3742 0.3742 0.5820  2 Ag 2.86-2.92, 1 Cd 2.88
10 Ag 0.6258 0.6258 0.4180  2 Ag 2.86-2.92, 1 Cd 2.88
11 Ag 0.6292 0.6292 0.0843  2 Ag 2.80-2.86, 2 Ce 3.11

Results
* symmetry: C2/m, No. 12
* DOS at the Fermi energy: 27.659 states/eV/cell
* formation energy from the elements: -0.080 eV per atom

=====

# CeCd4Ag

A geometry-optimized CeCd4Ag structure (PBE-GGA, Alexandria).

Lattice parameters (Å, degrees): 5.8666 5.8666 5.8666 60.00 60.00 60.00
Last column: nearest neighbours and their distance in Å.
Sites, in units of the cell vectors:
1 Ce 0.0000 0.0000 0.0000  12 Cd 3.44, 4 Ag 3.59
2 Cd 0.1253 0.6249 0.6249  6 Cd 2.93-2.94
3 Cd 0.6249 0.1253 0.6249  6 Cd 2.93-2.94
4 Cd 0.6249 0.6249 0.1253  6 Cd 2.93-2.94
5 Cd 0.6249 0.6249 0.6249  6 Cd 2.93-2.94
6 Ag 0.2500 0.2500 0.2500  12 Cd 3.44, 4 Ce 3.59

Results
* symmetry: F-43m, No. 216
* DOS at the Fermi energy: 11.244 states/eV/cell
* formation energy from the elements: -0.020 eV per atom
* E above lowest polymorph: 0.109 eV per atom

=====

# Ce2CdAg

A geometry-optimized Ce2CdAg structure (PBE-GGA, Alexandria).

Lattice parameters (Å, degrees): 3.0387 3.0387 36.4930 90.00 90.00 120.00
Last column: nearest neighbours and their distance in Å.
Sites, in units of the cell vectors:
1 Ce 0.0000 0.0000 0.0913  6 Ce 3.04, 3 Ag 3.26, 1 Cd 3.33
2 Ce 0.0000 0.0000 0.9087  6 Ce 3.04, 3 Ag 3.26, 1 Cd 3.33
3 Ce 0.3333 0.6667 0.5753  6 Ce 3.04, 3 Ag 3.26, 1 Cd 3.33
4 Ce 0.3333 0.6667 0.7580  6 Ce 3.04, 3 Ag 3.26, 1 Cd 3.33
5 Ce 0.6667 0.3333 0.2420  6 Ce 3.04, 3 Ag 3.26, 1 Cd 3.33
6 Ce 0.6667 0.3333 0.4247  6 Ce 3.04, 3 Ag 3.26, 1 Cd 3.33
7 Cd 0.0000 0.0000 0.0000  6 Cd 3.04, 2 Ce 3.33
8 Cd 0.3333 0.6667 0.6667  6 Cd 3.04, 2 Ce 3.33
9 Cd 0.6667 0.3333 0.3333  6 Cd 3.04, 2 Ce 3.33
10 Ag 0.0000 0.0000 0.5000  6 Ag 3.04, 6 Ce 3.26
11 Ag 0.3333 0.6667 0.1667  6 Ag 3.04, 6 Ce 3.26
12 Ag 0.6667 0.3333 0.8333  6 Ag 3.04, 6 Ce 3.26

Results
* symmetry: R-3m, No. 166
* DOS at the Fermi energy: 18.855 states/eV/cell
* formation energy from the elements: 0.138 eV per atom

=====

# Ce3CdAg

A geometry-optimized Ce3CdAg structure (PBE-GGA, Alexandria).

Lattice parameters (Å, degrees): 9.5876 9.5876 6.4657 90.00 90.00 65.04
Last column: nearest neighbours and their distance in Å.
Sites, in units of the cell vectors:
1 Ce 0.1558 0.6719 0.5371  2 Ce 2.75-2.79
2 Ce 0.1558 0.6719 0.9629  2 Ce 2.75-2.79
3 Ce 0.3051 0.3051 0.0000  4 Ag 3.17-3.18, 4 Ce 3.20-3.23, 2 Cd 3.54
4 Ce 0.3051 0.3051 0.5000  4 Ag 3.17-3.18, 4 Ce 3.20-3.23, 2 Cd 3.54
5 Ce 0.3281 0.8442 0.5371  2 Ce 2.75-2.79
6 Ce 0.3281 0.8442 0.9629  2 Ce 2.75-2.79
7 Ce 0.6719 0.1558 0.0371  2 Ce 2.75-2.79
8 Ce 0.6719 0.1558 0.4629  2 Ce 2.75-2.79
9 Ce 0.6949 0.6949 0.0000  4 Ag 3.17-3.18, 4 Ce 3.20-3.23, 2 Cd 3.54
10 Ce 0.6949 0.6949 0.5000  4 Ag 3.17-3.18, 4 Ce 3.20-3.23, 2 Cd 3.54
11 Ce 0.8442 0.3281 0.0371  2 Ce 2.75-2.79
12 Ce 0.8442 0.3281 0.4629  2 Ce 2.75-2.79
13 Cd 0.0149 0.9851 0.2500  2 Cd 3.25, 8 Ce 3.29-3.30
14 Cd 0.4870 0.5130 0.2500  2 Cd 3.24, 12 Ce 3.41-3.54
15 Cd 0.5130 0.4870 0.7500  2 Cd 3.24, 12 Ce 3.41-3.54
16 Cd 0.9851 0.0149 0.7500  2 Cd 3.25, 8 Ce 3.29-3.30
17 Ag 0.0049 0.5153 0.2500  8 Ce 3.10-3.18, 2 Ag 3.25
18 Ag 0.4847 0.9951 0.2500  8 Ce 3.10-3.18, 2 Ag 3.25
19 Ag 0.5153 0.0049 0.7500  8 Ce 3.10-3.18, 2 Ag 3.25
20 Ag 0.9951 0.4847 0.7500  8 Ce 3.10-3.18, 2 Ag 3.25

Results
* symmetry: Cmcm, No. 63
* DOS at the Fermi energy: 54.408 states/eV/cell
* formation energy from the elements: 0.011 eV per atom

=====

# CeCd2Ag2

A geometry-optimized CeCd2Ag2 structure (PBE-GGA, Alexandria).

Lattice parameters (Å, degrees): 3.2020 4.9918 13.8683 90.00 90.00 90.00
Last column: nearest neighbours and their distance in Å.
Sites, in units of the cell vectors:
1 Ce 0.2500 0.2500 0.2495  2 Ce 3.20, 6 Ag 3.28-3.38, 6 Cd 3.34-3.40
2 Ce 0.7500 0.7500 0.7505  2 Ce 3.20, 6 Ag 3.28-3.38, 6 Cd 3.34-3.40
3 Cd 0.2500 0.2500 0.6403  5 Ag 2.88-2.93, 2 Cd 3.20
4 Cd 0.2500 0.7500 0.9668  4 Ag 2.96-2.98, 6 Cd 3.11-3.20
5 Cd 0.7500 0.2500 0.0332  4 Ag 2.96-2.98, 6 Cd 3.11-3.20
6 Cd 0.7500 0.7500 0.3597  5 Ag 2.88-2.93, 2 Cd 3.20
7 Ag 0.2500 0.2500 0.8516  5 Cd 2.93-2.98, 2 Ag 3.20, 4 Ce 3.28
8 Ag 0.2500 0.7500 0.5362  4 Cd 2.88-2.92, 6 Ag 3.13-3.20
9 Ag 0.7500 0.2500 0.4638  4 Cd 2.88-2.92, 6 Ag 3.13-3.20
10 Ag 0.7500 0.7500 0.1484  5 Cd 2.93-2.98, 2 Ag 3.20, 4 Ce 3.28

Results
* symmetry: Pmmn, No. 59
* DOS at the Fermi energy: 15.652 states/eV/cell
* formation energy from the elements: -0.123 eV per atom
* E above lowest polymorph: 0.006 eV per atom